Record 1
! Ac6InTe8 (GGA-PBE, relaxed); values from VASP
! Energy above the lowest structure with this stoichiometry ... 0.107 eV/atom
! D(E_F) ... 0.58 states/eV/atom
! E_tot ... -4.777 eV per atom
! Symmetry ... P-3
! Spin magnetization ... 0.0 μB/f.u.
! E_form (uncorrected) ... -1.28 eV/atom
&SYSTEM
  ibrav = 0, nat = 15, ntyp = 3
/
ATOMIC_SPECIES
Te 127.60 Te.upf
Ac 227.00 Ac.upf
In 114.82 In.upf
ATOMIC_POSITIONS crystal
Te 0.747 0.046 0.680
Te 0.253 0.680 0.634
Te 0.747 0.320 0.366
Te 0.253 0.954 0.320
Te 0.253 0.366 0.046
Te 0.251 0.333 0.667
Te 0.749 0.667 0.333
Te 0.747 0.634 0.954
Ac 0.248 0.858 0.520
Ac 0.752 0.520 0.662
Ac 0.248 0.662 0.142
Ac 0.752 0.142 0.480
Ac 0.752 0.338 0.858
Ac 0.248 0.480 0.338
In 0.500 0.000 0.000
CELL_PARAMETERS angstrom
-3.682 -1.758 2.529
8.200 -3.869 9.250
-5.269 11.820 0.546



Record 2
! Ac5InTe4 (GGA-PBE, relaxed); values from VASP
! D(E_F) ... 0.40 states/eV/atom
! E_tot ... -4.883 eV per atom
! Symmetry ... P-1
! Spin magnetization ... 0.0 μB/f.u.
! E_form (uncorrected) ... -1.30 eV/atom
&SYSTEM
  ibrav = 0, nat = 10, ntyp = 3
/
ATOMIC_SPECIES
Te 127.60 Te.upf
In 114.82 In.upf
Ac 227.00 Ac.upf
ATOMIC_POSITIONS crystal
Te 0.199 0.205 0.400
Te 0.599 0.600 0.205
Te 0.803 0.795 0.600
Te 0.403 0.400 0.795
In 0.001 0.000 0.000
Ac 0.100 0.607 0.195
Ac 0.295 0.805 0.607
Ac 0.902 0.393 0.805
Ac 0.707 0.195 0.393
Ac 0.501 0.000 0.000
CELL_PARAMETERS angstrom
6.075 0.009 2.878
3.016 7.561 1.433
-0.209 0.007 8.255



- Which of these has the lowest E_form (uncorrected)?
  Ac5InTe4



- What is the spin magnetization in the second record?
  0.0 μB/f.u.